*i*
VASP calculation (PBE) on a relaxed structure of TaMn3S.

Calculated values
space-group type	Pm-3m, No. 221

a = 4.723 Å, b = 4.723 Å, c = 4.723 Å
α = 90.00°, β = 90.00°, γ = 90.00°
Fractional coordinates of all 5 atoms:
Ta 0.000 0.000 0.000
Mn 0.000 0.000 0.500
Mn 0.000 0.500 0.000
Mn 0.500 0.000 0.000
S 0.500 0.500 0.500

*ii*
VASP calculation (PBE) on a relaxed structure of TaMn3S.

Calculated values
space-group type	Pm-3m, No. 221

a = 4.061 Å, b = 4.061 Å, c = 4.061 Å
α = 90.00°, β = 90.00°, γ = 90.00°
Fractional coordinates of all 5 atoms:
Ta 0.000 0.000 0.000
Mn 0.000 0.500 0.500
Mn 0.500 0.000 0.500
Mn 0.500 0.500 0.000
S 0.500 0.500 0.500

Stability ranking, top and bottom: *ii* is the most stable and *i* is the least stable.

*i*
VASP calculation (PBE) on a relaxed structure of Ta3MnS.

Calculated values
space-group type	Pm-3m, No. 221

a = 4.490 Å, b = 4.490 Å, c = 4.490 Å
α = 90.00°, β = 90.00°, γ = 90.00°
Fractional coordinates of all 5 atoms:
Ta 0.000 0.000 0.500
Ta 0.000 0.500 0.000
Ta 0.500 0.000 0.000
Mn 0.500 0.500 0.500
S 0.000 0.000 0.000

*ii*
VASP calculation (PBE) on a relaxed structure of Ta3MnS.

Calculated values
space-group type	Pm-3m, No. 221

a = 4.602 Å, b = 4.602 Å, c = 4.602 Å
α = 90.00°, β = 90.00°, γ = 90.00°
Fractional coordinates of all 5 atoms:
Ta 0.000 0.000 0.500
Ta 0.000 0.500 0.000
Ta 0.500 0.000 0.000
Mn 0.000 0.000 0.000
S 0.500 0.500 0.500

Stability ranking, top and bottom: *i* is the most stable and *ii* is the least stable.